# 1
This record from Alexandria via LeMat-Bulk describes a relaxed structure of NdU3Tl4O12. The functional is GGA-PBE.

Properties
The uncorrected formation energy is -50.0 eV/f.u. Its energy is -7.881 eV/atom. Its volume is 339 Å³/cell.

Cell lengths 7.606, 7.606, 7.606 Å; angles 109.47, 109.47, 109.47 degrees
Fractional positions:
Nd 0.000 0.000 0.000
U 0.000 0.500 0.500
U 0.500 0.000 0.500
U 0.500 0.500 0.000
Tl 0.000 0.000 0.500
Tl 0.000 0.500 0.000
Tl 0.500 0.000 0.000
Tl 0.500 0.500 0.500
O 0.000 0.271 0.271
O 0.000 0.729 0.729
O 0.250 0.500 0.750
O 0.250 0.750 0.500
O 0.271 0.000 0.271
O 0.271 0.271 0.000
O 0.500 0.250 0.750
O 0.500 0.750 0.250
O 0.729 0.000 0.729
O 0.729 0.729 0.000
O 0.750 0.250 0.500
O 0.750 0.500 0.250


# 2
This record from Alexandria via LeMat-Bulk describes a relaxed structure of Tb3ScGe2C. The functional is GGA-PBE.

Properties
Its energy is -6.248 eV/atom. Its volume is 159 Å³/cell. As for the energy relative to the elements: -0.7220 eV/atom.

Cell lengths 8.297, 8.297, 8.297 Å; angles 148.89, 147.23, 45.81 degrees
Fractional positions:
Tb 0.000 0.000 0.000
Tb 0.334 0.834 0.500
Tb 0.666 0.166 0.500
Sc 0.500 0.500 0.000
Ge 0.136 0.636 0.500
Ge 0.864 0.364 0.500
C 0.500 0.000 0.500


Which value of energy does entry 1 give? -7.881 eV/atom


What is the formula in the second record? Tb3ScGe2C